VASP calculation (PBE) on a relaxed structure of KSn12.

ΔE to the lowest computed polymorph   0.000 eV/atom
E_tot   -3.731 eV/atom
Symmetry   No. 221
Density of states at the Fermi level   2.67 states/eV/cell
Formation enthalpy at 0 K   48 meV per atom
Size of the total moment   0.00 Bohr magnetons per cell

a b c (Å): 8.1869 8.1869 8.1869
angles (deg): 90.00 90.00 90.00
With the nearest neighbours (Å) after each atom.
Sites, in units of the cell vectors:
K  0.5000  0.5000  0.5000  24 Sn 4.57
Sn  0.2515  0.0000  0.5000  4 Sn 2.88-2.91
Sn  0.7485  0.0000  0.5000  4 Sn 2.88-2.91
Sn  0.0000  0.5000  0.2515  4 Sn 2.88-2.91
Sn  0.0000  0.5000  0.7485  4 Sn 2.88-2.91
Sn  0.5000  0.2515  0.0000  4 Sn 2.88-2.91
Sn  0.5000  0.7485  0.0000  4 Sn 2.88-2.91
Sn  0.0000  0.7485  0.5000  4 Sn 2.88-2.91
Sn  0.0000  0.2515  0.5000  4 Sn 2.88-2.91
Sn  0.7485  0.5000  0.0000  4 Sn 2.88-2.91
Sn  0.2515  0.5000  0.0000  4 Sn 2.88-2.91
Sn  0.5000  0.0000  0.7485  4 Sn 2.88-2.91
Sn  0.5000  0.0000  0.2515  4 Sn 2.88-2.91

---

VASP calculation (PBE) on a relaxed structure of AcMg2Cu2Sn2.

E_tot   -3.691 eV/atom
Symmetry   No. 166
Density of states at the Fermi level   1.75 states/eV/cell
Formation enthalpy at 0 K   -335 meV per atom
Size of the total moment   0.00 Bohr magnetons per cell

a b c (Å): 4.5988 4.5988 9.2686
angles (deg): 75.64 75.64 60.00
With the nearest neighbours (Å) after each atom.
Sites, in units of the cell vectors:
Ac  0.0000  0.0000  0.0000  6 Sn 3.46, 6 Cu 3.50, 2 Mg 3.61
Mg  0.1356  0.1356  0.5932  3 Cu 2.97, 4 Sn 3.00-3.04, 3 Mg 3.13
Mg  0.8644  0.8644  0.4068  3 Cu 2.97, 4 Sn 3.00-3.04, 3 Mg 3.13
Cu  0.5811  0.5811  0.2567  3 Sn 2.66, 3 Mg 2.97
Cu  0.4189  0.4189  0.7433  3 Sn 2.66, 3 Mg 2.97
Sn  0.7502  0.7502  0.7493  3 Cu 2.66
Sn  0.2498  0.2498  0.2507  3 Cu 2.66

---

VASP calculation (PBE) on a relaxed structure of Zr2VFe.

ΔE to the lowest computed polymorph   0.000 eV/atom
E_tot   -8.641 eV/atom
Symmetry   No. 123
Density of states at the Fermi level   5.21 states/eV/cell
Formation enthalpy at 0 K   28 meV per atom
Size of the total moment   2.56 Bohr magnetons per cell

a b c (Å): 3.2553 3.2553 6.5579
angles (deg): 90.00 90.00 90.00
With the nearest neighbours (Å) after each atom.
Sites, in units of the cell vectors:
Fe  0.5000  0.5000  0.0000  8 Zr 2.78
Zr  0.0000  0.0000  0.7618  4 Fe 2.78, 4 V 2.87
Zr  0.0000  0.0000  0.2382  4 Fe 2.78, 4 V 2.87
V  0.5000  0.5000  0.5000  8 Zr 2.87

---

VASP calculation (PBE) on a relaxed structure of Tl4TeRh.

E_tot   -2.815 eV/atom
Symmetry   No. 216
Density of states at the Fermi level   3.93 states/eV/cell
Size of the total moment   0.49 Bohr magnetons per cell

a b c (Å): 6.2554 6.2554 6.2554
angles (deg): 60.00 60.00 60.00
With the nearest neighbours (Å) after each atom.
Sites, in units of the cell vectors:
Tl  0.6248  0.1256  0.6248  6 Tl 3.12-3.13
Tl  0.6248  0.6248  0.6248  6 Tl 3.12-3.13
Tl  0.6248  0.6248  0.1256  6 Tl 3.12-3.13
Tl  0.1256  0.6248  0.6248  6 Tl 3.12-3.13
Te  0.0000  0.0000  0.0000  12 Tl 3.67, 4 Rh 3.83
Rh  0.2500  0.2500  0.2500  12 Tl 3.67, 4 Te 3.83

---

VASP calculation (PBE) on a relaxed structure of Sn2HgS.

ΔE to the lowest computed polymorph   0.096 eV/atom
E_tot   -3.108 eV/atom
Symmetry   No. 123
Density of states at the Fermi level   1.55 states/eV/cell
Size of the total moment   0.00 Bohr magnetons per cell

a b c (Å): 3.5788 3.5788 7.6388
angles (deg): 90.00 90.00 90.00
With the nearest neighbours (Å) after each atom.
Sites, in units of the cell vectors:
S  0.5000  0.5000  0.0000  8 Sn 3.02
Hg  0.5000  0.5000  0.5000  8 Sn 3.34, 4 Hg 3.58
Sn  0.0000  0.0000  0.7853  4 S 3.02, 1 Sn 3.28, 4 Hg 3.34
Sn  0.0000  0.0000  0.2147  4 S 3.02, 1 Sn 3.28, 4 Hg 3.34

---

VASP calculation (PBE) on a relaxed structure of NbPWS2.

ΔE to the lowest computed polymorph   0.000 eV/atom
E_tot   -6.719 eV/atom
Symmetry   No. 123
Density of states at the Fermi level   5.14 states/eV/cell
Size of the total moment   2.71 Bohr magnetons per cell

a b c (Å): 4.6056 4.6056 4.7863
angles (deg): 90.00 90.00 90.00
With the nearest neighbours (Å) after each atom.
Sites, in units of the cell vectors:
P  0.0000  0.0000  0.5000  2 W 2.39
Nb  0.5000  0.5000  0.5000  4 P 3.26, 8 S 3.32
S  0.0000  0.5000  0.0000  2 W 2.30
S  0.5000  0.0000  0.0000  2 W 2.30
W  0.0000  0.0000  0.0000  4 S 2.30, 2 P 2.39

---

Q: What is the density of states at the Fermi level in the sixth record?
A: 5.14 states/eV/cell

---

What did the first record say?
VASP calculation (PBE) on a relaxed structure of KSn12.

ΔE to the lowest computed polymorph   0.000 eV/atom
E_tot   -3.731 eV/atom
Symmetry   No. 221
Density of states at the Fermi level   2.67 states/eV/cell
Formation enthalpy at 0 K   48 meV per atom
Size of the total moment   0.00 Bohr magnetons per cell

a b c (Å): 8.1869 8.1869 8.1869
angles (deg): 90.00 90.00 90.00
With the nearest neighbours (Å) after each atom.
Sites, in units of the cell vectors:
K  0.5000  0.5000  0.5000  24 Sn 4.57
Sn  0.2515  0.0000  0.5000  4 Sn 2.88-2.91
Sn  0.7485  0.0000  0.5000  4 Sn 2.88-2.91
Sn  0.0000  0.5000  0.2515  4 Sn 2.88-2.91
Sn  0.0000  0.5000  0.7485  4 Sn 2.88-2.91
Sn  0.5000  0.2515  0.0000  4 Sn 2.88-2.91
Sn  0.5000  0.7485  0.0000  4 Sn 2.88-2.91
Sn  0.0000  0.7485  0.5000  4 Sn 2.88-2.91
Sn  0.0000  0.2515  0.5000  4 Sn 2.88-2.91
Sn  0.7485  0.5000  0.0000  4 Sn 2.88-2.91
Sn  0.2515  0.5000  0.0000  4 Sn 2.88-2.91
Sn  0.5000  0.0000  0.7485  4 Sn 2.88-2.91
Sn  0.5000  0.0000  0.2515  4 Sn 2.88-2.91